# 1
# AlPCl2, relaxed, DFT PBE
# - energy relative to the elements, uncorrected (eV per atom) = 0.392
# - ΔE to the lowest computed polymorph (meV per atom) = 1037
data_AlPCl2
_chemical_formula_sum 'Al1 P1 Cl2'
_cell_length_a 4.2661
_cell_length_b 4.2661
_cell_length_c 4.1775
_cell_angle_alpha 90.00
_cell_angle_beta 90.00
_cell_angle_gamma 90.00
_symmetry_space_group_name_H-M 'P 4/m m m'
_symmetry_Int_Tables_number 123
_symmetry_space_group_name_Hall '-P 4 2'
loop_
_atom_site_label
_atom_site_type_symbol
_atom_site_fract_x
_atom_site_fract_y
_atom_site_fract_z
Al1 Al 0.0000 0.0000 0.0000
P1 P 0.5000 0.5000 0.0000
Cl1 Cl 0.0000 0.5000 0.5000



# 2
# Hg4SbTeBr2, relaxed, DFT PBE
# - energy relative to the elements, uncorrected (eV per atom) = -0.117
data_Hg4SbTeBr2
_chemical_formula_sum 'Hg16 Sb4 Te4 Br8'
_cell_length_a 11.8512
_cell_length_b 14.2356
_cell_length_c 8.2532
_cell_angle_alpha 90.00
_cell_angle_beta 133.85
_cell_angle_gamma 90.00
_symmetry_space_group_name_H-M 'C 1 2/c 1'
_symmetry_Int_Tables_number 15
_symmetry_space_group_name_Hall '-C 2yc'
loop_
_atom_site_label
_atom_site_type_symbol
_atom_site_fract_x
_atom_site_fract_y
_atom_site_fract_z
Hg1 Hg 0.0010 0.2070 0.0063
Hg2 Hg 0.2455 0.0273 0.4948
Sb1 Sb 0.0000 0.0000 0.0000
Te1 Te 0.2500 0.2500 0.5000
Br1 Br 0.0000 0.5000 0.0000
Br2 Br 0.2500 0.2500 0.0000



# 3
# LaSiTeN2, relaxed, DFT PBE
# - energy relative to the elements, uncorrected (eV per atom) = 0.297
# - ΔE to the lowest computed polymorph (meV per atom) = 0
data_LaSiTeN2
_chemical_formula_sum 'La1 Si1 Te1 N2'
_cell_length_a 4.1396
_cell_length_b 4.1396
_cell_length_c 5.1742
_cell_angle_alpha 90.00
_cell_angle_beta 90.00
_cell_angle_gamma 90.00
_symmetry_space_group_name_H-M 'P 4/m m m'
_symmetry_Int_Tables_number 123
_symmetry_space_group_name_Hall '-P 4 2'
loop_
_atom_site_label
_atom_site_type_symbol
_atom_site_fract_x
_atom_site_fract_y
_atom_site_fract_z
La1 La 0.0000 0.0000 0.0000
Si1 Si 0.5000 0.5000 0.5000
Te1 Te 0.5000 0.5000 0.0000
N1 N 0.0000 0.5000 0.5000



# 4
# NdGa3CuPt, relaxed, DFT PBE
# - formation energy (eV/atom) = -0.34
data_NdGa3CuPt
_chemical_formula_sum 'Nd4 Ga12 Cu4 Pt4'
_cell_length_a 6.5091
_cell_length_b 12.7887
_cell_length_c 6.1482
_cell_angle_alpha 90.00
_cell_angle_beta 90.00
_cell_angle_gamma 90.00
_symmetry_space_group_name_H-M 'C m c m'
_symmetry_Int_Tables_number 63
_symmetry_space_group_name_Hall '-C 2c 2'
loop_
_atom_site_label
_atom_site_type_symbol
_atom_site_fract_x
_atom_site_fract_y
_atom_site_fract_z
Nd1 Nd 0.0000 0.2139 0.2500
Ga1 Ga 0.0000 0.2139 0.7500
Ga2 Ga 0.1999 0.5000 0.0000
Cu1 Cu 0.0000 0.3901 0.7500
Pt1 Pt 0.0000 0.0253 0.7500



# 5
# YAsRh3, relaxed, DFT PBE
# - formation energy (eV/atom) = 1.25
# - ΔE to the lowest computed polymorph (meV per atom) = 1959
data_YAsRh3
_chemical_formula_sum 'Y1 As1 Rh3'
_cell_length_a 4.8805
_cell_length_b 4.8805
_cell_length_c 4.8805
_cell_angle_alpha 90.00
_cell_angle_beta 90.00
_cell_angle_gamma 90.00
_symmetry_space_group_name_H-M 'P m -3 m'
_symmetry_Int_Tables_number 221
_symmetry_space_group_name_Hall '-P 4 2 3'
loop_
_atom_site_label
_atom_site_type_symbol
_atom_site_fract_x
_atom_site_fract_y
_atom_site_fract_z
Y1 Y 0.0000 0.0000 0.0000
As1 As 0.5000 0.5000 0.5000
Rh1 Rh 0.0000 0.0000 0.5000



# 6
# BaAlHg2Bi, relaxed, DFT PBE
# - formation energy (eV/atom) = -0.29
data_BaAlHg2Bi
_chemical_formula_sum 'Ba1 Al1 Hg2 Bi1'
_cell_length_a 5.2936
_cell_length_b 5.2936
_cell_length_c 5.8197
_cell_angle_alpha 90.00
_cell_angle_beta 90.00
_cell_angle_gamma 90.00
_symmetry_space_group_name_H-M 'P 4/m m m'
_symmetry_Int_Tables_number 123
_symmetry_space_group_name_Hall '-P 4 2'
loop_
_atom_site_label
_atom_site_type_symbol
_atom_site_fract_x
_atom_site_fract_y
_atom_site_fract_z
Ba1 Ba 0.0000 0.0000 0.0000
Al1 Al 0.5000 0.5000 0.5000
Hg1 Hg 0.0000 0.5000 0.5000
Bi1 Bi 0.5000 0.5000 0.0000